Entry 1:
VASP calculation (PBE) on a relaxed KCuIr2 crystal.

Cell: 2.8279 2.8279 8.9397 Å, 90.00 90.00 90.00°
With the nearest neighbours (Å) after each atom.
Atoms (fractional coordinates):
Ir  0.5000  0.5000  0.1945  8 Ir 2.65-2.83
Cu  0.5000  0.5000  0.8084  4 Ir 2.64, 4 Cu 2.83
Ir  0.0000  0.0000  0.0008  4 Cu 2.64, 8 Ir 2.65-2.83
K  0.0000  0.0000  0.4962  4 K 2.83

Its formation energy from the elements is 0.449 eV per atom. As for the crystal system: tetragonal. As for the space group: P4mm (99).

=====

Entry 2:
VASP calculation (PBE) on a relaxed Pr5Y3Bi8 crystal.

Cell: 9.1720 9.1720 9.1663 Å, 59.98 59.98 60.00°
With the nearest neighbours (Å) after each atom.
Atoms (fractional coordinates):
Y  0.0000  0.5000  0.5000  6 Bi 3.20
Pr  0.0000  0.0000  0.0000  6 Bi 3.24
Y  0.0000  0.0000  0.5000  6 Bi 3.20
Bi  0.7533  0.7533  0.7401  3 Y 3.20, 3 Pr 3.29
Pr  0.5000  0.5000  0.5000  6 Bi 3.24
Bi  0.7567  0.2500  0.7433  2 Y 3.20, 4 Pr 3.24-3.29
Y  0.5000  0.0000  0.5000  6 Bi 3.20
Bi  0.2433  0.7500  0.2567  2 Y 3.20, 4 Pr 3.24-3.29
Bi  0.2500  0.7567  0.7433  2 Y 3.20, 4 Pr 3.24-3.29
Bi  0.7500  0.7500  0.2567  2 Y 3.20, 4 Pr 3.24-3.29
Bi  0.2467  0.2467  0.2599  3 Y 3.20, 3 Pr 3.29
Bi  0.7500  0.2433  0.2567  2 Y 3.20, 4 Pr 3.24-3.29
Pr  0.5000  0.5000  0.0000  6 Bi 3.29
Pr  0.5000  0.0000  0.0000  6 Bi 3.29
Bi  0.2500  0.2500  0.7433  2 Y 3.20, 4 Pr 3.24-3.29
Pr  0.0000  0.5000  0.0000  6 Bi 3.29

Its formation energy from the elements is -0.931 eV per atom. As for the crystal system: trigonal. As for the space group: R-3m (166).

=====

Entry 3:
VASP calculation (PBE) on a relaxed KTl2GaSb2 crystal.

Cell: 4.8010 8.2481 9.5603 Å, 90.00 90.00 90.00°
With the nearest neighbours (Å) after each atom.
Atoms (fractional coordinates):
Ga  0.5000  0.6540  0.3414  4 Sb 2.89-2.93
Tl  0.5000  0.0203  0.0746  5 Sb 3.61-3.80, 4 Tl 3.63, 1 Ga 3.95
Tl  0.5000  0.5203  0.9254  5 Sb 3.61-3.80, 4 Tl 3.63, 1 Ga 3.95
K  0.0000  0.0117  0.4281  5 Sb 3.38-3.46, 2 Ga 3.46, 1 Tl 3.69
Tl  0.0000  0.8352  0.8386  4 Sb 3.16-3.42
Tl  0.0000  0.3352  0.1614  4 Sb 3.16-3.42
Sb  0.5000  0.8065  0.6187  2 Ga 2.89-2.93, 2 Tl 3.20
Ga  0.5000  0.1540  0.6586  4 Sb 2.89-2.93
K  0.0000  0.5117  0.5719  5 Sb 3.38-3.46, 2 Ga 3.46, 1 Tl 3.69
Sb  0.5000  0.3065  0.3813  2 Ga 2.89-2.93, 2 Tl 3.20
Sb  0.0000  0.2179  0.8182  2 Ga 2.89, 1 Tl 3.16
Sb  0.0000  0.7179  0.1818  2 Ga 2.89, 1 Tl 3.16

As for the crystal system: orthorhombic. As for the space group: Pmc2_1 (26).

=====

no.,DFT total energy (eV/atom),DOS(E_F) (states/eV/atom)
1,-5.279,0.55
2,-5.577,0.16
3,-2.986,0.25